# LaPaTl2 | Alexandria | PBE-GGA | relaxed
data_LaPaTl2
_chemical_formula_sum 'La3 Pa3 Tl6'
_space_group_name_H-M_alt 'R -3 m'
_space_group_IT_number 166
_space_group_name_Hall '-R 3 2"'
_cell_length_a 3.3634
_cell_length_b 3.3634
_cell_length_c 34.2603
_cell_angle_alpha 90.00
_cell_angle_beta 90.00
_cell_angle_gamma 120.00
loop_
_atom_site_label
_atom_site_fract_x
_atom_site_fract_y
_atom_site_fract_z
_atom_site_occupancy
La1 0.0000 0.0000 0.0000 1
Pa1 0.0000 0.0000 0.5000 1
Tl1 0.0000 0.0000 0.2484 1
# Raw total energy: -19.2 eV per formula unit
# Energy of formation from the pure elements: -0.02 eV per formula unit
# Theoretical density: 11.56 g/cm3
# ΔE to the lowest computed polymorph: 61 meV/atom
# N(E_F): 16.6 states/eV/cell